Entry one
DFT (PBE) results for a relaxed P2PbS crystal.

Unit cell a=5.3444 b=5.3444 c=7.9486 alpha=70.36 beta=70.36 gamma=90.00
With the nearest neighbours (Å) after each atom.
Element x y z (fractional)
Pb1 0.0000 0.0000 0.0000  4 P 2.83
Pb2 0.7500 0.2500 0.5000  4 P 2.83
P1 0.5426 0.1250 0.2500  2 S 2.38
P2 0.2074 0.6250 0.2500  2 S 2.38
P3 0.3750 0.4574 0.7500  2 S 2.38
P4 0.8750 0.7926 0.7500  2 S 2.38
S1 0.5000 0.5000 0.0000  4 P 2.38
S2 0.2500 0.7500 0.5000  4 P 2.38

Summary:
SG = I-42d (122)
Calculated density = 5.01 g/cm3
Total magnetic moment = 0.00 μB per cell

=====

Entry two
DFT (PBE) results for a relaxed P2PbS crystal.

Unit cell a=4.7852 b=4.7852 c=4.7852 alpha=60.00 beta=60.00 gamma=60.00
With the nearest neighbours (Å) after each atom.
Element x y z (fractional)
Pb1 0.5000 0.5000 0.5000  8 P 2.93
P1 0.2500 0.2500 0.2500  4 S 2.93, 4 Pb 2.93
P2 0.7500 0.7500 0.7500  4 Pb 2.93, 4 S 2.93
S1 0.0000 0.0000 0.0000  8 P 2.93

Summary:
SG = Fm-3m (225)
Calculated density = 6.46 g/cm3
Total magnetic moment = 0.00 μB per cell

=====

entry one comes first in stability; the runner-up is 319 meV/atom higher.